Record 1
## Ga2Hg12Te15 (PBE)

Data for a relaxed Ga2Hg12Te15 crystal.

extended XYZ file:
```
29
Lattice="4.0350 -6.9894 0.0000 4.0350 6.9894 0.0000 -2.6911 0.0000 18.6778" Properties=species:S:1:pos:R:3 pbc="T T T"
Ga 4.0350 4.6604 0.0000
Ga 4.0350 -4.6604 0.0000
Hg 0.0114 2.3078 11.3507
Hg -1.0911 0.0000 15.2156
Hg 2.6443 2.4041 3.6240
Hg 1.3559 0.0000 7.4990
Hg 0.0114 -2.3078 11.3507
Hg 2.5609 2.1142 15.2169
Hg 2.6443 -2.4041 3.6240
Hg 5.3718 2.3188 7.4933
Hg 4.0077 0.0000 11.3879
Hg 2.5609 -2.1142 15.2169
Hg 6.8104 0.0000 3.6247
Hg 5.3718 -2.3188 7.4933
Te -1.3490 0.0000 12.3562
Te 1.3435 4.6616 16.0148
Te 2.6176 2.4555 0.7431
Te 1.4046 0.0000 4.6271
Te 4.0320 4.6574 8.4793
Te 2.6896 2.3421 12.3571
Te 1.3460 0.0000 16.5751
Te 2.6176 -2.4555 0.7431
Te 5.3475 2.2768 4.6243
Te 4.0360 0.0000 8.5173
Te 2.6896 -2.3421 12.3571
Te 1.3435 -4.6616 16.0148
Te 6.8695 0.0000 0.7440
Te 5.3475 -2.2768 4.6243
Te 4.0320 -4.6574 8.4793
```

Values from the calculation:
space group = Cm (8)
energy relative to the elements, uncorrected = -0.1893 eV/atom
energy = -2.15 eV per atom

Record 2
## Ga2Hg2Te (PBE)

Data for a relaxed Ga2Hg2Te crystal.

extended XYZ file:
```
10
Lattice="8.7633 0.0000 0.0000 0.0000 8.7633 0.0000 0.0000 0.0000 3.2243" Properties=species:S:1:pos:R:3 pbc="T T T"
Ga 1.1906 3.1911 0.0000
Ga 3.1911 7.5727 0.0000
Ga 5.5723 1.1906 0.0000
Ga 7.5727 5.5723 0.0000
Hg 1.4045 5.7862 1.6122
Hg 2.9772 1.4045 1.6122
Hg 5.7862 7.3588 1.6122
Hg 7.3588 2.9772 1.6122
Te 0.0000 0.0000 1.6122
Te 4.3817 4.3817 1.6122
```

Values from the calculation:
space group = P4/mbm (127)
energy relative to the elements, uncorrected = 0.0671 eV/atom
energy = -1.89 eV per atom

Record 3
## Ga2Hg2Te (PBE)

Data for a relaxed Ga2Hg2Te crystal.

extended XYZ file:
```
10
Lattice="7.4609 0.0000 0.0000 0.0000 7.4609 0.0000 0.0000 0.0000 4.7348" Properties=species:S:1:pos:R:3 pbc="T T T"
Ga 0.9773 2.7531 0.0000
Ga 2.7531 6.4836 0.0000
Ga 4.7078 0.9773 0.0000
Ga 6.4836 4.7078 0.0000
Hg 1.2989 5.0294 2.3674
Hg 2.4315 1.2989 2.3674
Hg 5.0294 6.1620 2.3674
Hg 6.1620 2.4315 2.3674
Te 0.0000 0.0000 0.0000
Te 3.7305 3.7305 0.0000
```

Values from the calculation:
space group = P4/mbm (127)
energy relative to the elements, uncorrected = 0.0151 eV/atom
energy = -1.94 eV per atom

Record 4
## Ga2Hg2Te (PBE)

Data for a relaxed Ga2Hg2Te crystal.

extended XYZ file:
```
5
Lattice="-2.1518 2.1518 7.0996 2.1518 -2.1518 7.0996 2.1518 2.1518 -7.0996" Properties=species:S:1:pos:R:3 pbc="T T T"
Ga 0.0000 0.0000 1.3134
Ga 0.0000 0.0000 12.8858
Hg 2.1518 0.0000 3.5498
Hg 0.0000 2.1518 3.5498
Te 0.0000 0.0000 7.0996
```

Values from the calculation:
space group = I4/mmm (139)
energy relative to the elements, uncorrected = 0.0396 eV/atom
energy = -1.92 eV per atom

Record 5
## TiGa2HgTe (PBE)

Data for a relaxed TiGa2HgTe crystal.

extended XYZ file:
```
5
Lattice="5.4936 0.0000 0.0000 0.0000 5.4936 0.0000 0.0000 0.0000 5.1118" Properties=species:S:1:pos:R:3 pbc="T T T"
Ti 0.0000 0.0000 0.0000
Ga 0.0000 2.7468 2.5559
Ga 2.7468 0.0000 2.5559
Hg 2.7468 2.7468 0.0000
Te 0.0000 0.0000 2.5559
```

Values from the calculation:
space group = P4/mmm (123)
energy relative to the elements, uncorrected = 0.6870 eV/atom
energy = -2.79 eV per atom

Record 6
## TlGaHg2Te (PBE)

Data for a relaxed TlGaHg2Te crystal.

extended XYZ file:
```
5
Lattice="5.3308 0.0000 0.0000 0.0000 5.3308 0.0000 0.0000 0.0000 5.7474" Properties=species:S:1:pos:R:3 pbc="T T T"
Tl 0.0000 0.0000 0.0000
Ga 2.6654 2.6654 2.8737
Hg 0.0000 2.6654 2.8737
Hg 2.6654 0.0000 2.8737
Te 2.6654 2.6654 0.0000
```

Values from the calculation:
space group = P4/mmm (123)
energy relative to the elements, uncorrected = -0.0366 eV/atom
energy = -1.86 eV per atom

Record 7
## TlGaHgTe (PBE)

Data for a relaxed TlGaHgTe crystal.

extended XYZ file:
```
4
Lattice="0.0000 3.9240 3.9240 3.9240 0.0000 3.9240 3.9240 3.9240 0.0000" Properties=species:S:1:pos:R:3 pbc="T T T"
Tl 0.0000 0.0000 0.0000
Ga 3.9240 3.9240 3.9240
Hg 1.9620 1.9620 1.9620
Te 5.8861 5.8861 5.8861
```

Values from the calculation:
space group = F-43m (216)
energy relative to the elements, uncorrected = -0.0653 eV/atom
energy = -2.27 eV per atom

Record 8
## ZrGaHgTe2 (PBE)

Data for a relaxed ZrGaHgTe2 crystal.

extended XYZ file:
```
5
Lattice="5.5299 0.0000 0.0000 0.0000 5.5299 0.0000 0.0000 0.0000 4.8696" Properties=species:S:1:pos:R:3 pbc="T T T"
Zr 0.0000 0.0000 0.0000
Ga 2.7649 2.7649 2.4348
Hg 2.7649 2.7649 0.0000
Te 0.0000 2.7649 2.4348
Te 2.7649 0.0000 2.4348
```

Values from the calculation:
space group = P4/mmm (123)
energy relative to the elements, uncorrected = 0.4063 eV/atom
energy = -3.23 eV per atom

Record 9
## Th2GaHg (PBE)

Data for a relaxed Th2GaHg crystal.

extended XYZ file:
```
4
Lattice="3.4361 0.0000 0.0000 0.0000 3.4361 0.0000 0.0000 0.0000 8.8465" Properties=species:S:1:pos:R:3 pbc="T T T"
Th 0.0000 0.0000 2.0878
Th 0.0000 0.0000 6.7587
Ga 1.7180 1.7180 0.0000
Hg 1.7180 1.7180 4.4232
```

Values from the calculation:
space group = P4/mmm (123)
ΔE_f = -332 meV/atom
energy = -4.87 eV per atom

Record 10
## Th2GaHg (PBE)

Data for a relaxed Th2GaHg crystal.

extended XYZ file:
```
4
Lattice="0.0000 3.7772 3.7772 3.7772 0.0000 3.7772 3.7772 3.7772 0.0000" Properties=species:S:1:pos:R:3 pbc="T T T"
Th 1.8886 1.8886 1.8886
Th 5.6658 5.6658 5.6658
Ga 0.0000 0.0000 0.0000
Hg 3.7772 3.7772 3.7772
```

Values from the calculation:
space group = Fm-3m (225)
ΔE_f = -263 meV/atom
energy = -4.80 eV per atom

Record 11
## Th4GaHg3 (PBE)

Data for a relaxed Th4GaHg3 crystal.

extended XYZ file:
```
8
Lattice="3.9157 0.0000 0.0000 0.0000 3.9157 0.0000 0.0000 0.0000 14.2900" Properties=species:S:1:pos:R:3 pbc="T T T"
Th 0.0000 0.0000 1.6021
Th 0.0000 0.0000 5.2856
Th 0.0000 0.0000 9.0044
Th 0.0000 0.0000 12.6879
Ga 1.9579 1.9579 0.0000
Hg 1.9579 1.9579 3.4469
Hg 1.9579 1.9579 7.1450
Hg 1.9579 1.9579 10.8431
```

Values from the calculation:
space group = P4/mmm (123)
ΔE_f = -232 meV/atom
energy = -4.43 eV per atom

Record 12
## Th2GaHg (PBE)

Data for a relaxed Th2GaHg crystal.

extended XYZ file:
```
8
Lattice="6.2265 0.0000 0.0000 0.0000 4.2479 0.0000 -2.9541 0.0000 8.3040" Properties=species:S:1:pos:R:3 pbc="T T T"
Th 0.0598 1.0620 3.5389
Th 1.4888 3.1859 0.5920
Th 1.7836 1.0620 7.7121
Th 3.2126 3.1859 4.7651
Ga -1.5400 1.0620 6.5559
Ga 4.8124 3.1859 1.7481
Hg 0.1553 3.1859 5.9407
Hg 3.1171 1.0620 2.3633
```

Values from the calculation:
space group = P2_1/m (11)
ΔE_f = -311 meV/atom
energy = -4.85 eV per atom

Record 13
## ThGaHg2 (PBE)

Data for a relaxed ThGaHg2 crystal.

extended XYZ file:
```
4
Lattice="4.4965 0.0000 0.0000 0.0000 4.4965 0.0000 0.0000 0.0000 4.8753" Properties=species:S:1:pos:R:3 pbc="T T T"
Th 0.0000 0.0000 0.0000
Ga 2.2483 2.2483 0.0000
Hg 0.0000 2.2483 2.4377
Hg 2.2483 0.0000 2.4377
```

Values from the calculation:
space group = P4/mmm (123)
ΔE_f = -260 meV/atom
energy = -3.02 eV per atom

Record 14
## Th4Ga2Hg (PBE)

Data for a relaxed Th4Ga2Hg crystal.

extended XYZ file:
```
7
Lattice="2.3765 1.3721 10.7373 -2.3765 1.3721 10.7373 0.0000 -2.7442 10.7373" Properties=species:S:1:pos:R:3 pbc="T T T"
Th 0.0000 0.0000 3.6731
Th 0.0000 0.0000 9.7122
Th 0.0000 0.0000 22.4998
Th 0.0000 0.0000 28.5389
Ga 0.0000 0.0000 12.9777
Ga 0.0000 0.0000 19.2343
Hg 0.0000 0.0000 16.1060
```

Values from the calculation:
space group = R-3m (166)
ΔE_f = -79 meV/atom
energy = -5.23 eV per atom

Record 15
## Th3Ga4Hg2 (PBE)

Data for a relaxed Th3Ga4Hg2 crystal.

extended XYZ file:
```
9
Lattice="5.7116 -2.2241 0.0000 5.7116 2.2241 0.0000 -2.1551 0.0000 8.5203" Properties=species:S:1:pos:R:3 pbc="T T T"
Th 0.0000 0.0000 0.0000
Th 3.1891 0.0000 2.7795
Th 6.0790 0.0000 5.7408
Ga -0.3545 0.0000 3.2312
Ga 1.2472 0.0000 8.2120
Ga 8.0209 0.0000 0.3082
Ga 9.6226 0.0000 5.2891
Hg 2.6772 0.0000 5.9905
Hg 6.5909 0.0000 2.5298
```

Values from the calculation:
space group = C2/m (12)
ΔE_f = -443 meV/atom
energy = -4.33 eV per atom

Record 16
## Th4GaHg (PBE)

Data for a relaxed Th4GaHg crystal.

extended XYZ file:
```
12
Lattice="7.6710 0.0000 0.0000 0.0000 7.6710 0.0000 0.0000 0.0000 5.8577" Properties=species:S:1:pos:R:3 pbc="T T T"
Th 1.1485 2.5820 0.0000
Th 1.1485 5.0891 2.9289
Th 2.5820 1.1485 2.9289
Th 2.5820 6.5225 0.0000
Th 5.0891 1.1485 0.0000
Th 5.0891 6.5225 2.9289
Th 6.5225 2.5820 2.9289
Th 6.5225 5.0891 0.0000
Ga 0.0000 0.0000 1.4644
Ga 0.0000 0.0000 4.3933
Hg 3.8355 3.8355 1.4644
Hg 3.8355 3.8355 4.3933
```

Values from the calculation:
space group = P4/mcc (124)
ΔE_f = -252 meV/atom
energy = -5.75 eV per atom

Record 17
## Th2GaHg (PBE)

Data for a relaxed Th2GaHg crystal.

extended XYZ file:
```
4
Lattice="1.6980 0.9803 11.6249 -1.6980 0.9803 11.6249 0.0000 -1.9606 11.6249" Properties=species:S:1:pos:R:3 pbc="T T T"
Th 0.0000 0.0000 3.1017
Th 0.0000 0.0000 31.7732
Ga 0.0000 0.0000 0.0000
Hg 0.0000 0.0000 17.4374
```

Values from the calculation:
space group = R-3m (166)
ΔE_f = 142 meV/atom
energy = -4.40 eV per atom

Record 18
## Th5GaHg4 (PBE)

Data for a relaxed Th5GaHg4 crystal.

extended XYZ file:
```
10
Lattice="3.4408 0.0000 0.0000 0.0000 3.4408 0.0000 0.0000 0.0000 22.6773" Properties=species:S:1:pos:R:3 pbc="T T T"
Th 0.0000 0.0000 0.0000
Th 0.0000 0.0000 4.6231
Th 0.0000 0.0000 9.2540
Th 0.0000 0.0000 13.4233
Th 0.0000 0.0000 18.0542
Ga 1.7204 1.7204 11.3387
Hg 1.7204 1.7204 2.3097
Hg 1.7204 1.7204 6.9225
Hg 1.7204 1.7204 15.7549
Hg 1.7204 1.7204 20.3676
```

Values from the calculation:
space group = P4/mmm (123)
ΔE_f = -267 meV/atom
energy = -4.40 eV per atom

Record 19
## ThGa2Hg (PBE)

Data for a relaxed ThGa2Hg crystal.

extended XYZ file:
```
4
Lattice="0.0000 3.5646 3.5646 3.5646 0.0000 3.5646 3.5646 3.5646 0.0000" Properties=species:S:1:pos:R:3 pbc="T T T"
Th 0.0000 0.0000 0.0000
Ga 1.7823 1.7823 1.7823
Ga 5.3469 5.3469 5.3469
Hg 3.5646 3.5646 3.5646
```

Values from the calculation:
space group = Fm-3m (225)
ΔE_f = -209 meV/atom
energy = -3.65 eV per atom

Record 20
## ThGa2Hg (PBE)

Data for a relaxed ThGa2Hg crystal.

extended XYZ file:
```
4
Lattice="4.6069 0.0000 0.0000 0.0000 4.6069 0.0000 0.0000 0.0000 4.3573" Properties=species:S:1:pos:R:3 pbc="T T T"
Th 0.0000 0.0000 0.0000
Ga 0.0000 2.3035 2.1786
Ga 2.3035 0.0000 2.1786
Hg 2.3035 2.3035 0.0000
```

Values from the calculation:
space group = P4/mmm (123)
ΔE_f = -370 meV/atom
energy = -3.81 eV per atom

Record 21
## ThGaHg2 (PBE)

Data for a relaxed ThGaHg2 crystal.

extended XYZ file:
```
4
Lattice="0.0000 3.6580 3.6580 3.6580 0.0000 3.6580 3.6580 3.6580 0.0000" Properties=species:S:1:pos:R:3 pbc="T T T"
Th 0.0000 0.0000 0.0000
Ga 3.6580 3.6580 3.6580
Hg 1.8290 1.8290 1.8290
Hg 5.4869 5.4869 5.4869
```

Values from the calculation:
space group = Fm-3m (225)
ΔE_f = -170 meV/atom
energy = -2.93 eV per atom

Record 22
## ThGaHg2 (PBE)

Data for a relaxed ThGaHg2 crystal.

extended XYZ file:
```
4
Lattice="1.6752 0.9672 11.2097 -1.6752 0.9672 11.2097 0.0000 -1.9344 11.2097" Properties=species:S:1:pos:R:3 pbc="T T T"
Th 0.0000 0.0000 0.0000
Ga 0.0000 0.0000 16.8145
Hg 0.0000 0.0000 3.2142
Hg 0.0000 0.0000 30.4147
```

Values from the calculation:
space group = R-3m (166)
ΔE_f = 192 meV/atom
energy = -2.57 eV per atom

Record 23
## Th3Ga3Hg (PBE)

Data for a relaxed Th3Ga3Hg crystal.

extended XYZ file:
```
14
Lattice="5.6711 -2.2559 0.0000 5.6711 2.2559 0.0000 -4.8501 0.0000 13.7305" Properties=species:S:1:pos:R:3 pbc="T T T"
Th -1.5620 0.0000 5.1397
Th -3.2334 0.0000 12.6823
Th 1.6317 0.0000 3.0232
Th 4.8604 0.0000 10.7073
Th 9.7255 0.0000 1.0482
Th 8.0541 0.0000 8.5908
Ga 2.0955 0.0000 6.2082
Ga -0.0268 0.0000 12.7239
Ga 1.6703 0.0000 10.6697
Ga 4.8218 0.0000 3.0608
Ga 6.5189 0.0000 1.0066
Ga 4.3966 0.0000 7.5223
Hg 0.0524 0.0000 8.3269
Hg 6.4397 0.0000 5.4036
```

Values from the calculation:
space group = C2/m (12)
ΔE_f = -466 meV/atom
energy = -4.99 eV per atom

Record 24
## Th2Ga2Hg3 (PBE)

Data for a relaxed Th2Ga2Hg3 crystal.

extended XYZ file:
```
7
Lattice="2.0446 -10.4880 0.0000 2.0446 10.4880 0.0000 0.0000 0.0000 4.1275" Properties=species:S:1:pos:R:3 pbc="T T T"
Th 2.0446 7.0265 0.0000
Th 2.0446 -7.0265 0.0000
Ga 2.0446 4.5307 2.0637
Ga 2.0446 -4.5307 2.0637
Hg 0.0000 0.0000 0.0000
Hg 2.0446 1.5373 2.0637
Hg 2.0446 -1.5373 2.0637
```

Values from the calculation:
space group = Cmmm (65)
ΔE_f = -309 meV/atom
energy = -3.42 eV per atom

Record 25
## Th2GaHg (PBE)

Data for a relaxed Th2GaHg crystal.

extended XYZ file:
```
4
Lattice="4.8771 0.0000 0.0000 0.0000 4.8771 0.0000 0.0000 0.0000 4.4211" Properties=species:S:1:pos:R:3 pbc="T T T"
Th 0.0000 2.4385 0.0000
Th 2.4385 0.0000 0.0000
Ga 0.0000 0.0000 2.2106
Hg 2.4385 2.4385 2.2106
```

Values from the calculation:
space group = P4/mmm (123)
ΔE_f = -296 meV/atom
energy = -4.84 eV per atom